The following is a DFT calculation (PBE) of a geometry-optimized Pr5DyZn6 structure.

Unit cell a=5.2011 b=7.3855 c=8.2580 alpha=90.00 beta=108.19 gamma=90.00
Last column: nearest neighbours and their distance in Å.
Space group P2/m (No. 10)
Asymmetric unit:
Pr 0.0000 0.0000 0.0000  8 Zn 3.17-3.23
Pr 0.3316 0.0000 0.6627  8 Zn 3.21-3.27
Pr 0.3345 0.5000 0.6688  8 Zn 3.15-3.25
Dy 0.0000 0.5000 0.0000  8 Zn 3.12-3.15
Zn 0.1623 0.2554 0.3249  1 Dy 3.12, 7 Pr 3.17-3.25
Zn 0.5000 0.2592 0.0000  6 Pr 3.15-3.27, 2 Dy 3.15

The value obtained for the calculated total energy is -39.8 eV/f.u. As for the formation energy: -0.3029 eV/atom.

The following is a DFT calculation (PBE) of a geometry-optimized Pr4DyZn structure.

Unit cell a=3.6946 b=3.6946 c=14.0630 alpha=90.00 beta=90.00 gamma=90.00
Last column: nearest neighbours and their distance in Å.
Space group P4/mmm (No. 123)
Asymmetric unit:
Pr 0.0000 0.0000 0.1320  4 Zn 3.20
Pr 0.5000 0.5000 0.3210  4 Dy 3.63, 8 Pr 3.69-3.73
Dy 0.0000 0.0000 0.5000  8 Pr 3.63, 4 Dy 3.69
Zn 0.5000 0.5000 0.0000  8 Pr 3.20

The value obtained for the calculated total energy is -25.5 eV/f.u. As for the formation energy: -0.0902 eV/atom.